First-principles (PBE) data for crystalline ErMgAlZn at its relaxed geometry, as listed in Alexandria.

abc: 6.8748 6.8748 6.8748
angles: 90.00 90.00 90.00
Last column: nearest neighbours and their distance in Å.
Space group F-43m (No. 216)
Unique sites:
Er1 0.0000 0.0000 0.0000  4 Al 2.98, 4 Zn 2.98
Mg1 0.0000 0.0000 0.5000  4 Al 2.98, 4 Zn 2.98
Al1 0.2500 0.2500 0.7500  4 Mg 2.98, 4 Er 2.98
Zn1 0.2500 0.2500 0.2500  4 Mg 2.98, 4 Er 2.98

Output
**Calculated volume**: 20.31 Å³ per atom
**Formation energy**: -0.27 eV/atom
**DOS at the Fermi energy**: 3.1 states/eV/cell
**Mass density**: 5.80 Mg/m³